Entry 1:
Material: CeHoAlCu
Method: DFT, GGA-PBE
State: relaxed

Cell and atoms, written as extended XYZ:
```
4
Lattice="5.067 0.000 0.000 2.534 4.389 0.000 2.534 1.463 4.138" Properties=species:S:1:pos:R:3 pbc="T T T"
Al 7.601 4.389 3.103
Ho 0.000 0.000 0.000
Cu 2.534 1.463 1.034
Ce 5.067 2.926 2.069
```

## Properties
- theoretical density (kg/m³) = 7139
- D(E_F) (states/eV per atom) = 2.062
- total magnetic moment (μB per formula unit) = 0.7
- E_form (eV/f.u.) = -0.74

---

Entry 2:
Material: LaCeAlCu
Method: DFT, GGA-PBE
State: relaxed

Cell and atoms, written as extended XYZ:
```
4
Lattice="5.215 0.000 0.000 2.608 4.516 0.000 2.608 1.505 4.258" Properties=species:S:1:pos:R:3 pbc="T T T"
Ce 0.000 0.000 0.000
Al 7.823 4.516 3.194
La 5.215 3.011 2.129
Cu 2.608 1.505 1.065
```

## Properties
- theoretical density (kg/m³) = 6119
- D(E_F) (states/eV per atom) = 2.395
- total magnetic moment (μB per formula unit) = 0.9
- E_form (eV/f.u.) = -0.51

---

Entry 3:
Material: LiCe2AlCu6
Method: DFT, GGA-PBE
State: relaxed

Cell and atoms, written as extended XYZ:
```
10
Lattice="-3.291 -6.674 3.654 4.016 -0.291 3.089 -1.643 -0.933 6.217" Properties=species:S:1:pos:R:3 pbc="T T T"
Ce 1.488 -2.021 6.215
Ce -2.405 -5.876 6.745
Cu 0.485 -5.154 5.135
Cu -1.402 -2.743 7.825
Cu -1.206 -3.371 5.420
Cu -1.518 -5.010 3.593
Cu 0.601 -2.887 9.367
Cu 0.289 -4.526 7.540
Li 0.363 -3.482 3.372
Al 0.000 0.000 0.000
```

## Properties
- theoretical density (kg/m³) = 6361
- D(E_F) (states/eV per atom) = 1.774
- total magnetic moment (μB per formula unit) = 2.1
- E_form (eV/f.u.) = -0.25